Entry 1:
{
  "formula": "Y3HoRu",
  "functional": "PBE",
  "state": "optimized geometry",
  "total_energy_ev_per_cell": -68.489,
  "spacegroup": "C2/m (12)",
  "mass_density_g_cm3": 6.009,
  "formation_energy_ev_per_atom": -0.20,
  "lattice_angstrom": [[-5.772, 3.615, -2.526], [-1.787, -7.032, 0.335], [1.963, 2.164, 6.652]],
  "species": ["Y", "Y", "Ru", "Y", "Y", "Ho", "Y", "Ru", "Y", "Ho"],
  "fractional_positions": [[0.153, 0.950, 0.708], [0.294, 0.552, 0.846], [0.378, 0.248, 0.626], [0.706, 0.448, 0.154], [0.847, 0.050, 0.292], [0.296, 0.948, 0.244], [0.759, 0.555, 0.708], [0.622, 0.752, 0.374], [0.241, 0.445, 0.292], [0.704, 0.052, 0.756]]
}



Entry 2:
{
  "formula": "LaTa2Zn2",
  "functional": "PBE",
  "state": "optimized geometry",
  "total_energy_ev_per_cell": -29.081,
  "spacegroup": "I4/mmm (139)",
  "mass_density_g_cm3": 9.649,
  "formation_energy_ev_per_atom": 0.42,
  "lattice_angstrom": [[-0.206, 1.750, -3.964], [-2.784, -3.095, -1.222], [-5.916, 2.637, -0.902]],
  "species": ["Ta", "Zn", "La", "Zn", "Ta"],
  "fractional_positions": [[0.613, 0.613, 0.773], [0.250, 0.750, 0.500], [0.000, 0.000, 0.000], [0.750, 0.250, 0.500], [0.387, 0.387, 0.227]]
}